A plane-wave DFT calculation with PBE-GGA was carried out for Dy4CBr4Cl after structural relaxation.

a = 9.083 Å, b = 9.083 Å, c = 7.896 Å
α = 102.39°, β = 102.39°, γ = 23.98°
Sites, in units of the cell vectors:
Dy  0.638  0.638  0.072
Br  0.170  0.170  0.821
Dy  0.001  0.001  0.792
Cl  0.500  0.500  0.500
Dy  0.999  0.999  0.208
Br  0.830  0.830  0.179
Br  0.837  0.837  0.652
Br  0.163  0.163  0.348
C  0.500  0.500  0.000
Dy  0.362  0.362  0.928

Crystal system: monoclinic
DFT total energy, eV per atom: -5.10
Space group: C2/m, No. 12